Here is a geometry-optimized ZrSc3Co8 structure from Alexandria. Energies are from GGA-PBE.

a = 8.4480 Å, b = 8.4480 Å, c = 8.4480 Å
α = 33.56°, β = 33.56°, γ = 33.56°
Closest atoms and distances in Å follow each position.
Positions (direct):
Zr (0.0000, 0.0000, 0.0000)  12 Co 2.85-2.87, 4 Sc 3.00
Sc (0.1257, 0.1257, 0.1257)  12 Co 2.84-2.88, 3 Sc 2.97, 1 Zr 3.00
Sc (0.4988, 0.4988, 0.4988)  12 Co 2.85-2.87, 4 Sc 2.97
Sc (0.6231, 0.6231, 0.6231)  12 Co 2.84-2.88, 1 Sc 2.97, 3 Zr 3.00
Co (0.0609, 0.5623, 0.5623)  6 Co 2.43-2.45
Co (0.0621, 0.0621, 0.5621)  6 Co 2.43-2.44
Co (0.0621, 0.5621, 0.0621)  6 Co 2.43-2.44
Co (0.3118, 0.3118, 0.3118)  6 Co 2.43-2.44
Co (0.5623, 0.0609, 0.5623)  6 Co 2.43-2.45
Co (0.5621, 0.0621, 0.0621)  6 Co 2.43-2.44
Co (0.5623, 0.5623, 0.0609)  6 Co 2.43-2.45
Co (0.8120, 0.8120, 0.8120)  6 Co 2.44

Results
Spin magnetization: 6.29 Bohr magnetons per cell
Calculated formation energy: -0.34 eV/atom
E: -7.38 eV/atom